# 1
The following is a DFT calculation (PBE) of a relaxed CaH4Br3N crystal.

Lattice parameters (Å, degrees): 4.3067 7.6584 10.9279 90.13 90.03 104.78
Closest atoms and distances in Å follow each position.
Space group P1 (No. 1)
Unique sites:
Ca (0.0000, 0.0000, 0.0000) x1  6 Br 2.91-2.96
Ca (0.0607, 0.9859, 0.4998) x1  6 Br 2.91-2.96
H (0.0762, 0.4040, 0.6970) x1  1 N 1.04
H (0.1905, 0.6070, 0.7697) x1  1 N 1.04
H (0.3773, 0.4398, 0.8023) x1  1 N 1.04
H (0.4301, 0.5490, 0.6657) x1  1 N 1.03
H (0.6359, 0.4369, 0.1634) x1  1 N 1.03
H (0.6808, 0.5467, 0.3005) x1  1 N 1.04
H (0.8705, 0.3800, 0.2698) x1  1 N 1.04
H (0.9871, 0.5827, 0.1976) x1  1 N 1.04
Br (0.0997, 0.1271, 0.2520) x1  1 H 2.39
Br (0.3832, 0.7444, 0.0532) x1  1 H 2.42
Br (0.4451, 0.7245, 0.4465) x1  2 H 2.48-2.74
Br (0.6151, 0.2616, 0.9473) x1  2 H 2.48-2.70
Br (0.6781, 0.2418, 0.5537) x1  1 H 2.42
Br (0.9616, 0.8592, 0.7516) x1  1 H 2.39
N (0.2691, 0.4990, 0.7349) x1  4 H 1.03-1.04
N (0.7928, 0.4875, 0.2340) x1  4 H 1.03-1.04

Values from the calculation:
* VASP energy: -76.54 eV for the cell shown

---

# 2
The following is a DFT calculation (PBE) of a relaxed CaH2BrN crystal.

Lattice parameters (Å, degrees): 3.6746 11.0790 6.9727 90.00 90.00 90.00
Closest atoms and distances in Å follow each position.
Space group Cmcm (No. 63)
Unique sites:
Ca (0.0000, 0.0592, 0.2500) x4  4 N 2.62, 8 H 2.80-2.81
H (0.0000, 0.4149, 0.0514) x8  1 N 1.01
Br (0.0000, 0.2223, 0.7500) x4  6 H 2.76-2.99, 2 Ca 3.04
N (0.0000, 0.5000, 0.0000) x4  2 H 1.01

Values from the calculation:
* VASP energy: -91.43 eV for the cell shown

---

# 3
The following is a DFT calculation (PBE) of a relaxed CaH8Br2O12 crystal.

Lattice parameters (Å, degrees): 5.6369 8.1127 12.2001 99.85 90.96 90.33
Closest atoms and distances in Å follow each position.
Space group P-1 (No. 2)
Unique sites:
Ca (0.0175, 0.2321, 0.2536) x2  7 O 2.35-2.59
H (0.1903, 0.5121, 0.8761) x2  1 O 0.99
H (0.2191, 0.9130, 0.3146) x2  1 O 0.99
H (0.3019, 0.6823, 0.9338) x2  1 O 0.99
H (0.3093, 0.8140, 0.5606) x2  1 O 0.98
H (0.3139, 0.5473, 0.3016) x2  1 O 0.98
H (0.3229, 0.9206, 0.1971) x2  1 O 0.99
H (0.4357, 0.9183, 0.6678) x2  1 O 0.99
H (0.4655, 0.4251, 0.2150) x2  1 O 0.99
Br (0.1341, 0.3124, 0.5845) x2  4 O 1.64-1.67
Br (0.2674, 0.1759, 0.9449) x2  4 O 1.64-1.66
O (0.0760, 0.3144, 0.9143) x2  1 Br 1.65
O (0.1458, 0.7469, 0.3983) x2  1 Br 1.67, 1 H 1.87
O (0.1499, 0.5189, 0.6094) x2  1 Br 1.65
O (0.2126, 0.2415, 0.4557) x2  1 Br 1.65
O (0.2260, 0.9927, 0.8656) x2  1 Br 1.64
O (0.2426, 0.1529, 0.0758) x2  1 Br 1.65
O (0.2492, 0.6206, 0.8604) x2  2 H 0.99
O (0.2758, 0.9918, 0.2671) x2  2 H 0.99
O (0.2868, 0.8604, 0.6390) x2  2 H 0.98-0.99
O (0.3105, 0.4389, 0.2521) x2  2 H 0.98-0.99
O (0.3157, 0.2401, 0.6706) x2  1 Br 1.64
O (0.4565, 0.7630, 0.0733) x2  1 Br 1.66

Values from the calculation:
* VASP energy: -215.60 eV for the cell shown

---

# 4
The following is a DFT calculation (PBE) of a relaxed CaH2BrO crystal.

Lattice parameters (Å, degrees): 3.6709 12.0620 6.3214 90.00 90.00 90.00
Closest atoms and distances in Å follow each position.
Space group Cmcm (No. 63)
Unique sites:
Ca (0.0000, 0.0895, 0.2500) x4  4 H 2.60, 4 O 2.65, 2 Br 2.87
H (0.0000, 0.4427, 0.1687) x8  1 H 1.03
Br (0.0000, 0.2275, 0.7500) x4  4 H 2.80, 2 Ca 2.87
O (0.0000, 0.5000, 0.0000) x4  2 H 1.27

Values from the calculation:
* ΔE to the lowest computed polymorph: 0.0000 eV/atom

---

# 5
The following is a DFT calculation (PBE) of a relaxed CaH2BrO crystal.

Lattice parameters (Å, degrees): 3.9789 3.9789 4.5753 90.00 90.00 90.00
Closest atoms and distances in Å follow each position.
Space group P4/mmm (No. 123)
Unique sites:
Ca (0.0000, 0.0000, 0.0000) x1  2 O 2.29
H (0.0000, 0.5000, 0.5000) x2  2 O 1.99
Br (0.5000, 0.5000, 0.0000) x1  4 Ca 2.81, 8 H 3.03
O (0.0000, 0.0000, 0.5000) x1  4 H 1.99

Values from the calculation:
* ΔE to the lowest computed polymorph: 0.6526 eV/atom

---

# 6
The following is a DFT calculation (PBE) of a relaxed CaZnH10Br4O5 crystal.

Lattice parameters (Å, degrees): 7.9614 9.9285 10.3483 72.29 76.78 87.54
Closest atoms and distances in Å follow each position.
Space group P-1 (No. 2)
Unique sites:
Ca (0.0807, 0.2370, 0.1208) x2  3 O 2.21-2.39
Zn (0.3871, 0.9955, 0.2276) x2  3 O 1.92-2.10
H (0.0277, 0.5137, 0.7554) x2  1 O 0.99
H (0.0556, 0.6574, 0.6330) x2  1 O 0.98
H (0.1404, 0.9065, 0.1280) x2  1 O 0.99
H (0.2116, 0.9028, 0.6538) x2  1 O 0.98
H (0.2430, 0.9520, 0.7816) x2  1 O 1.02
H (0.2852, 0.9998, 0.9935) x2  1 O 1.05
H (0.3336, 0.1281, 0.8053) x2  1 O 0.98
H (0.3476, 0.2345, 0.2695) x2  1 O 0.97
H (0.3814, 0.5535, 0.8379) x2  1 Br 1.47
H (0.4601, 0.6800, 0.5457) x2  1 Br 1.51
Br (0.0673, 0.2745, 0.8338) x2  3 H 2.30-2.53
Br (0.2717, 0.5568, 0.9726) x2  1 H 1.47
Br (0.2816, 0.8123, 0.4505) x2  1 H 2.10
Br (0.4245, 0.4160, 0.3719) x2  1 H 1.51
O (0.9999, 0.3846, 0.2684) x2  2 H 0.98-0.99
O (0.1581, 0.9042, 0.7486) x2  2 H 0.98-1.02
O (0.2223, 0.9885, 0.0975) x2  2 H 0.99-1.05
O (0.3067, 0.1826, 0.2159) x2  1 H 0.97
O (0.3695, 0.0307, 0.8423) x2  1 H 0.98

Values from the calculation:
* VASP energy: -181.40 eV for the cell shown

---

# 7
The following is a DFT calculation (PBE) of a relaxed CaZn2H12Br6O6 crystal.

Lattice parameters (Å, degrees): 13.6662 10.6810 14.1568 90.00 112.15 90.00
Closest atoms and distances in Å follow each position.
Space group C2/m (No. 12)
Unique sites:
Ca (0.0691, 0.0000, 0.2376) x4  6 O 2.37-2.38
Zn (0.0472, 0.5000, 0.8096) x4  4 Br 2.40-2.53
Zn (0.2145, 0.5000, 0.3420) x4  4 Br 2.41-2.52
H (0.0308, 0.1653, 0.6506) x8  1 O 0.98
H (0.0891, 0.1632, 0.4171) x8  1 O 0.98
H (0.0934, 0.2459, 0.1398) x8  1 O 0.98
H (0.1524, 0.0741, 0.9041) x8  1 O 0.98
H (0.1876, 0.1633, 0.1403) x8  1 O 0.99
H (0.2083, 0.4255, 0.6225) x8  1 O 0.98
Br (0.0492, 0.5000, 0.3784) x4  2 Zn 2.48-2.50
Br (0.1188, 0.5000, 0.1509) x4  2 Zn 2.52-2.53, 2 H 2.73
Br (0.1502, 0.3168, 0.8800) x8  2 H 2.35-2.61, 1 Zn 2.40
Br (0.1811, 0.1869, 0.6002) x8  1 Zn 2.41, 3 H 2.43-2.58
O (0.0391, 0.1504, 0.3465) x8  2 H 0.98
O (0.1112, 0.0000, 0.8721) x4  2 H 0.98
O (0.1181, 0.1593, 0.1466) x8  2 H 0.98-0.99
O (0.2493, 0.0000, 0.3484) x4  2 H 0.98

Values from the calculation:
* VASP energy: -460.46 eV for the cell shown

---

# 8
The following is a DFT calculation (PBE) of a relaxed Rb2CaHBr6 crystal.

Lattice parameters (Å, degrees): 7.2177 7.2177 13.1160 90.00 90.00 90.00
Closest atoms and distances in Å follow each position.
Space group I4/mmm (No. 139)
Unique sites:
Rb (0.0000, 0.5000, 0.2500) x4  4 Br 3.63
Ca (0.0000, 0.0000, 0.0000) x2  6 Br 2.85-2.89
H (0.0000, 0.0000, 0.5000) x2  4 Br 2.21
Br (0.0000, 0.0000, 0.2174) x4  1 Ca 2.85
Br (0.2167, 0.2167, 0.5000) x8  1 H 2.21

Values from the calculation:
* VASP energy: -56.21 eV for the cell shown

---

# 9
The following is a DFT calculation (PBE) of a relaxed RbCaH2Br crystal.

Lattice parameters (Å, degrees): 4.6748 4.6748 5.8148 90.00 90.00 90.00
Closest atoms and distances in Å follow each position.
Space group P4/mmm (No. 123)
Unique sites:
Rb (0.0000, 0.0000, 0.0000) x1  4 Br 3.31
Ca (0.5000, 0.5000, 0.5000) x1  4 H 2.34
H (0.0000, 0.5000, 0.5000) x2  2 Ca 2.34
Br (0.5000, 0.5000, 0.0000) x1  2 Ca 2.91

Values from the calculation:
* VASP energy: -15.66 eV for the cell shown

---

# 10
The following is a DFT calculation (PBE) of a relaxed Rb2CaH2Br2 crystal.

Lattice parameters (Å, degrees): 4.7645 4.7645 17.6017 90.00 90.00 90.00
Closest atoms and distances in Å follow each position.
Space group I4/mmm (No. 139)
Unique sites:
Rb (0.0000, 0.0000, 0.1316) x4  4 H 3.32, 5 Br 3.42-3.59
Ca (0.0000, 0.0000, 0.5000) x2  4 H 2.38
H (0.0000, 0.5000, 0.0000) x4  2 Ca 2.38
Br (0.0000, 0.0000, 0.3354) x4  1 Ca 2.90

Values from the calculation:
* VASP energy: -44.03 eV for the cell shown

---

# 11
The following is a DFT calculation (PBE) of a relaxed CaH2SBr crystal.

Lattice parameters (Å, degrees): 4.0605 4.0605 5.9373 90.00 90.00 90.00
Closest atoms and distances in Å follow each position.
Space group P4/mmm (No. 123)
Unique sites:
Ca (0.0000, 0.0000, 0.0000) x1  4 H 2.03
H (0.0000, 0.5000, 0.0000) x2  2 Ca 2.03
S (0.0000, 0.0000, 0.5000) x1  4 Br 2.87, 2 Ca 2.97
Br (0.5000, 0.5000, 0.5000) x1  4 S 2.87

Values from the calculation:
* ΔE to the lowest computed polymorph: 0.0000 eV/atom

---

# 12
The following is a DFT calculation (PBE) of a relaxed CaH3SBr3 crystal.

Lattice parameters (Å, degrees): 15.5498 4.4161 11.0853 90.00 90.15 90.00
Closest atoms and distances in Å follow each position.
Space group Cm (No. 8)
Unique sites:
Ca (0.0000, 0.0000, 0.0000) x2  6 Br 2.85-2.98
Ca (0.0037, 0.0000, 0.4885) x2  6 Br 2.90-3.04
H (0.1818, 0.5000, 0.1152) x2  1 S 1.43
H (0.2861, 0.2811, 0.1788) x4  1 S 1.38
H (0.2922, 0.0000, 0.5901) x2  1 S 1.42
H (0.3196, 0.2191, 0.7401) x4  1 S 1.40
S (0.2314, 0.5000, 0.2236) x2  3 H 1.38-1.43
S (0.2585, 0.0000, 0.7088) x2  3 H 1.40-1.42
Br (0.0636, 0.0000, 0.2414) x2  2 Ca 2.85-2.90
Br (0.1170, 0.5000, 0.5481) x2  2 Ca 2.90
Br (0.1185, 0.5000, 0.9458) x2  1 H 2.12
Br (0.3751, 0.0000, 0.0420) x2  2 H 2.40
Br (0.3780, 0.0000, 0.4367) x2  1 H 2.17
Br (0.4390, 0.5000, 0.7470) x2  2 H 2.23

Values from the calculation:
* VASP energy: -113.53 eV for the cell shown

---

# 13
The following is a DFT calculation (PBE) of a relaxed CaSbHBr2 crystal.

Lattice parameters (Å, degrees): 5.7817 5.7817 3.9758 90.00 90.00 90.00
Closest atoms and distances in Å follow each position.
Space group P4/mmm (No. 123)
Unique sites:
Ca (0.0000, 0.0000, 0.0000) x1  2 H 1.99
Sb (0.5000, 0.5000, 0.5000) x1  8 Br 3.51
H (0.0000, 0.0000, 0.5000) x1  2 Ca 1.99
Br (0.0000, 0.5000, 0.0000) x2  2 Ca 2.89

Values from the calculation:
* VASP energy: -15.04 eV for the cell shown

---

# 14
The following is a DFT calculation (PBE) of a relaxed CaHSe2Br crystal.

Lattice parameters (Å, degrees): 4.1515 4.1515 5.9902 90.00 90.00 90.00
Closest atoms and distances in Å follow each position.
Space group P4/mmm (No. 123)
Unique sites:
Ca (0.0000, 0.0000, 0.0000) x1  4 Br 2.94
H (0.5000, 0.5000, 0.5000) x1  4 Se 2.08
Se (0.0000, 0.5000, 0.5000) x2  2 H 2.08
Br (0.5000, 0.5000, 0.0000) x1  4 Ca 2.94, 2 H 3.00

Values from the calculation:
* ΔE to the lowest computed polymorph: 0.0000 eV/atom

---

# 15
The following is a DFT calculation (PBE) of a relaxed CaHSeBr2 crystal.

Lattice parameters (Å, degrees): 5.6806 5.6806 5.9698 90.00 90.00 90.00
Closest atoms and distances in Å follow each position.
Space group P4/mmm (No. 123)
Unique sites:
Ca (0.0000, 0.0000, 0.0000) x1  4 Br 2.84, 2 Se 2.98
H (0.5000, 0.5000, 0.5000) x1  4 Se 4.02, 8 Br 4.12
Se (0.0000, 0.0000, 0.5000) x1  2 Ca 2.98
Br (0.0000, 0.5000, 0.0000) x2  2 Ca 2.84

Values from the calculation:
* ΔE to the lowest computed polymorph: 0.2658 eV/atom

---

# 16
The following is a DFT calculation (PBE) of a relaxed CaHSe2Br crystal.

Lattice parameters (Å, degrees): 5.8317 5.8317 5.6615 90.00 90.00 90.00
Closest atoms and distances in Å follow each position.
Space group P4/mmm (No. 123)
Unique sites:
Ca (0.0000, 0.0000, 0.0000) x1  2 Br 2.83, 4 Se 2.92
H (0.5000, 0.5000, 0.5000) x1  8 Se 4.06, 4 Br 4.12
Se (0.0000, 0.5000, 0.0000) x2  2 Ca 2.92
Br (0.0000, 0.0000, 0.5000) x1  2 Ca 2.83

Values from the calculation:
* ΔE to the lowest computed polymorph: 0.7001 eV/atom

---

# 17
The following is a DFT calculation (PBE) of a relaxed CaHSeBr2 crystal.

Lattice parameters (Å, degrees): 5.3541 5.3541 3.7660 90.00 90.00 90.00
Closest atoms and distances in Å follow each position.
Space group P4/mmm (No. 123)
Unique sites:
Ca (0.0000, 0.0000, 0.0000) x1  8 Br 3.27
H (0.5000, 0.5000, 0.5000) x1  2 Se 1.88
Se (0.5000, 0.5000, 0.0000) x1  2 H 1.88
Br (0.0000, 0.5000, 0.5000) x2  2 H 2.68

Values from the calculation:
* ΔE to the lowest computed polymorph: 0.0000 eV/atom

---

# 18
The following is a DFT calculation (PBE) of a relaxed CaZrHBr2 crystal.

Lattice parameters (Å, degrees): 5.6858 5.6858 3.8744 90.00 90.00 90.00
Closest atoms and distances in Å follow each position.
Space group P4/mmm (No. 123)
Unique sites:
Ca (0.0000, 0.0000, 0.0000) x1  2 H 1.94
Zr (0.5000, 0.5000, 0.5000) x1  8 Br 3.44
H (0.0000, 0.0000, 0.5000) x1  2 Ca 1.94
Br (0.0000, 0.5000, 0.0000) x2  2 Ca 2.84

Values from the calculation:
* VASP energy: -18.96 eV for the cell shown

---

# 19
The following is a DFT calculation (PBE) of a relaxed CaHf2Br crystal.

Lattice parameters (Å, degrees): 7.3632 7.3632 7.3632 90.00 90.00 90.00
Closest atoms and distances in Å follow each position.
Space group Fm-3m (No. 225)
Unique sites:
Ca (0.0000, 0.0000, 0.0000) x4  8 Hf 3.19
Hf (0.2500, 0.2500, 0.2500) x8  4 Br 3.19, 4 Ca 3.19
Br (0.0000, 0.0000, 0.5000) x4  8 Hf 3.19

Values from the calculation:
* formation energy from raw total energies: 0.7878 eV per atom
* ΔE to the lowest computed polymorph: 0.6120 eV/atom